# SrTaIn

SrTaIn after structural relaxation (GGA-PBEsol, the Alexandria database).

Structure (POSCAR):
```
SrTaIn
1.0
3.040 0.000 0.000
0.000 3.040 0.000
-1.520 -1.520 7.615
Sr Ta In
1 1 1
direct
0.666 0.666 0.331
0.346 0.346 0.693
0.988 0.988 0.976
```

**ρ**: 9.04 g cm⁻³
**Energy**: -16.21 eV/cell
**Energy of formation**: 0.389 eV per atom
**E above lowest polymorph**: 0 meV per atom

=====

# Sr3TaIn

Sr3TaIn after structural relaxation (GGA-PBEsol, the Alexandria database).

Structure (POSCAR):
```
Sr3TaIn
1.0
-2.853 5.037 -0.367
-3.588 -1.725 4.218
3.553 2.302 3.964
Sr In Ta
3 1 1
direct
0.000 0.000 0.500
0.000 0.500 0.000
0.500 0.000 0.000
0.500 0.500 0.500
0.000 0.000 0.000
```

**ρ**: 4.75 g cm⁻³
**Energy**: -16.28 eV/cell
**Energy of formation**: 0.955 eV per atom

=====

# SrYIn2Tc

SrYIn2Tc after structural relaxation (GGA-PBEsol, the Alexandria database).

Structure (POSCAR):
```
SrYIn2Tc
1.0
-4.780 2.890 0.100
-2.694 -4.379 -2.185
-1.105 -2.014 5.399
In Sr Tc Y
2 1 1 1
direct
0.500 0.000 0.000
0.000 0.500 0.000
0.000 0.000 0.500
0.500 0.500 0.500
0.000 0.000 0.000
```

**ρ**: 4.57 g cm⁻³
**Energy**: -17.70 eV/cell
**Energy of formation**: 1.639 eV per atom

=====

# SrInTe2

SrInTe2 after structural relaxation (GGA-PBEsol, the Alexandria database).

Structure (POSCAR):
```
SrInTe2
1.0
-1.471 -1.917 -3.823
3.341 -3.039 0.238
-3.821 -3.931 3.441
Sr Te In
1 2 1
direct
0.500 0.500 0.874
0.500 0.500 0.374
0.000 0.000 0.875
0.000 0.000 0.377
```

**ρ**: 5.74 g cm⁻³
**Energy**: -15.63 eV/cell